1.
# Ca2AlW

Ca2AlW after structural relaxation (PBE, the Alexandria database).

Unit cell a=5.596 b=5.596 c=5.404 alpha=100.07 beta=100.07 gamma=31.81
Element x y z (fractional)
Ca: 0.249 0.249 0.244
Ca: 0.751 0.751 0.756
Al: 0.000 0.000 0.500
W: 0.500 0.500 0.000

Calculated values
E_form = 0.7212 eV per atom
Magnetization = 0.0 Bohr magnetons per cell
Density of states at the Fermi level = 3.7 states/eV/f.u.
E_tot = -4.454 eV/atom

---

2.
# Hf3RuF

Hf3RuF after structural relaxation (PBE, the Alexandria database).

Unit cell a=4.422 b=4.422 c=4.422 alpha=90.00 beta=90.00 gamma=90.00
Element x y z (fractional)
Hf: 0.000 0.000 0.500
Hf: 0.000 0.500 0.000
Hf: 0.500 0.000 0.000
Ru: 0.500 0.500 0.500
F: 0.000 0.000 0.000

Calculated values
Magnetization = 0.0 Bohr magnetons per cell
Relative energy among the computed polymorphs = 0.00 eV per formula unit
Formation energy (no corrections) = -419.9 meV per atom
Density of states at the Fermi level = 3.3 states/eV/f.u.
E_tot = -8.621 eV/atom